Density functional theory data (PBE) for an optimized crystal structure of PtRhSe2Br.

Cell lengths 4.837, 4.837, 4.943 Å; angles 90.00, 90.00, 90.00 degrees
Site moments in Bohr magnetons follow the coordinates.
Element x y z (fractional)
1 Pt 0.500 0.500 0.500  0.12
2 Se 0.500 0.000 0.000  0.04
3 Se 0.000 0.500 0.000  0.04
4 Br 0.000 0.000 0.500  0.02
5 Rh 0.000 0.000 0.000  0.02

Computed properties:
* formation energy (no corrections): 0.784 eV per atom
* total magnetization: 0.056 μB per atom
* energy relative to the lowest polymorph listed for this composition: 0 meV/atom
* total DFT energy (no corrections): -3.62 eV per atom